A plane-wave DFT calculation with GGA-PBE was carried out for a relaxed Zr3Sc7Tc4 crystal.

Summary:
calculated formation energy	-1.498	eV per formula unit
density of states at the Fermi level	0.896	states/eV per atom
uncorrected energy	-8.07	eV/atom

a b c (Å): 17.5691 3.4129 11.3098
angles (deg): 90.00 121.16 90.00
Space group C2/m (No. 12)
Asymmetric unit:
Zr 0.0000 0.0000 0.0000 (multiplicity 2)
Zr 0.2062 0.5000 0.6980 (multiplicity 4)
Sc 0.0000 0.0000 0.5000 (multiplicity 2)
Sc 0.0009 0.5000 0.2476 (multiplicity 4)
Sc 0.1639 0.0000 0.4233 (multiplicity 4)
Sc 0.1789 0.5000 0.0148 (multiplicity 4)
Tc 0.1264 0.0000 0.7830 (multiplicity 4)
Tc 0.1384 0.5000 0.2067 (multiplicity 4)

***

A plane-wave DFT calculation with GGA-PBE was carried out for a relaxed K4BeCu crystal.

Summary:
calculated formation energy	5.528	eV per formula unit
density of states at the Fermi level	0.560	states/eV per atom
uncorrected energy	-1.11	eV/atom

a b c (Å): 10.4960 10.4960 10.4960
angles (deg): 90.00 90.00 90.00
Space group F-43m (No. 216)
Asymmetric unit:
K 0.1254 0.1254 0.1254 (multiplicity 16)
Be 0.2500 0.2500 0.7500 (multiplicity 4)
Cu 0.0000 0.0000 0.5000 (multiplicity 4)

***

A plane-wave DFT calculation with GGA-PBE was carried out for a relaxed Tm5Co2Hg2 crystal.

Summary:
calculated formation energy	-3.184	eV per formula unit
density of states at the Fermi level	0.728	states/eV per atom
uncorrected energy	-4.48	eV/atom

a b c (Å): 15.9989 7.1695 7.2340
angles (deg): 90.00 90.00 90.00
Space group Cmce (No. 64)
Asymmetric unit:
Tm 0.0000 0.0000 0.0000 (multiplicity 4)
Tm 0.1208 0.1820 0.3197 (multiplicity 16)
Co 0.0000 0.1102 0.6127 (multiplicity 8)
Hg 0.2209 0.0000 0.0000 (multiplicity 8)